(1)
This record from OQMD via LeMat-Bulk describes an optimized crystal structure of DyMgO3. The functional is PBE.

The space group is R-3c (No. 167, hexagonal axes) and the conventional cell measures 5.5658, 5.5658 and 12.5456 Å, with angles of 90.00, 90.00 and 120.00 degrees. Symmetry generates all atoms from Dy at (0.0000, 0.0000, 0.2500), Mg at (0.0000, 0.0000, 0.0000) and O at (0.0000, 0.3982, 0.2500).

The total magnetic moment comes out at 6.00 μB/cell. As for the total energy: -203.89 eV/cell.


(2)
This record from OQMD via LeMat-Bulk describes an optimized crystal structure of Dy2Mg2O5. The functional is PBE.

The space group is P4/mmm (No. 123) and the conventional cell measures 4.039, 4.039 and 8.297 Å, with angles of 90.00, 90.00 and 90.00 degrees. Symmetry generates all atoms from Dy at (0.000, 0.000, 0.235), Mg at (0.500, 0.500, 0.000), Mg at (0.500, 0.500, 0.500), O at (0.000, 0.000, 0.500) and O at (0.000, 0.500, 0.155).

The total magnetic moment comes out at 0.04 μB/cell. As for the total energy: -57.98 eV/cell.


(3)
This record from OQMD via LeMat-Bulk describes an optimized crystal structure of DyMgSn2Os2. The functional is PBE.

The space group is P4mm (No. 99) and the conventional cell measures 4.470, 4.470 and 6.536 Å, with angles of 90.00, 90.00 and 90.00 degrees. Symmetry generates all atoms from Dy at (0.000, 0.000, 0.000), Mg at (0.500, 0.500, 0.561), Sn at (0.000, 0.000, 0.519), Sn at (0.500, 0.500, 0.045) and Os at (0.000, 0.500, 0.286).

The total magnetic moment comes out at 0.00 μB/cell. As for the total energy: -37.40 eV/cell.


(4)
This record from OQMD via LeMat-Bulk describes an optimized crystal structure of DyMgZnP2. The functional is PBE.

The space group is P3m1 (No. 156) and the conventional cell measures 4.0764, 4.0764 and 6.7813 Å, with angles of 90.00, 90.00 and 120.00 degrees. Symmetry generates all atoms from Dy at (0.0000, 0.0000, 0.0000), Mg at (0.3333, 0.6667, 0.3701), Zn at (0.6667, 0.3333, 0.6511), P at (0.3333, 0.6667, 0.7439) and P at (0.6667, 0.3333, 0.2420).

The total magnetic moment comes out at 0.02 μB/cell. As for the total energy: -22.22 eV/cell.


(5)
This record from OQMD via LeMat-Bulk describes an optimized crystal structure of DyTmMg2Pb2. The functional is PBE.

The space group is I4mm (No. 107) and the conventional cell measures 4.421, 4.421 and 15.947 Å, with angles of 90.00, 90.00 and 90.00 degrees. Symmetry generates all atoms from Dy at (0.000, 0.000, 0.000), Tm at (0.000, 0.000, 0.331), Mg at (0.000, 0.500, 0.166), Pb at (0.000, 0.000, 0.527) and Pb at (0.000, 0.000, 0.804).

The total magnetic moment comes out at 0.01 μB/cell. As for the total energy: -43.85 eV/cell.


(6)
This record from OQMD via LeMat-Bulk describes an optimized crystal structure of Dy3Mg3PdPt2. The functional is PBE.

The space group is P-62m (No. 189) and the conventional cell measures 7.4314, 7.4314 and 4.0282 Å, with angles of 90.00, 90.00 and 120.00 degrees. Symmetry generates all atoms from Dy at (0.0000, 0.4145, 0.0000), Mg at (0.0000, 0.7540, 0.5000), Pd at (0.0000, 0.0000, 0.0000) and Pt at (0.3333, 0.6667, 0.5000).

The total magnetic moment comes out at 0.01 μB/cell. As for the total energy: -43.66 eV/cell.


(7)
This record from OQMD via LeMat-Bulk describes an optimized crystal structure of Dy3Mg3PdPt2. The functional is PBE.

The space group is Amm2 (No. 38) and the conventional cell measures 4.019, 12.895 and 7.450 Å, with angles of 90.00, 90.00 and 90.00 degrees. Symmetry generates all atoms from Dy at (0.000, 0.000, 0.000), Dy at (0.000, 0.208, 0.380), Mg at (0.500, 0.000, 0.340), Mg at (0.500, 0.123, 0.709), Pd at (0.000, 0.000, 0.586) and Pt at (0.500, 0.167, 0.086).

The total magnetic moment comes out at 0.01 μB/cell. As for the total energy: -87.32 eV/cell.


(8)
This record from OQMD via LeMat-Bulk describes an optimized crystal structure of Dy3Mg3Pd2Pt. The functional is PBE.

The space group is P-62m (No. 189) and the conventional cell measures 7.3915, 7.3915 and 4.0994 Å, with angles of 90.00, 90.00 and 120.00 degrees. Symmetry generates all atoms from Dy at (0.0000, 0.4078, 0.0000), Mg at (0.0000, 0.7555, 0.5000), Pd at (0.3333, 0.6667, 0.5000) and Pt at (0.0000, 0.0000, 0.0000).

The total magnetic moment comes out at 0.04 μB/cell. As for the total energy: -41.89 eV/cell.